1.
Density functional theory data (GGA-PBE) for an optimized crystal structure of LiCa2H6.

CIF file:
```
data_LiCa2H6
_space_group_name_H-M_alt 'F m -3 m'
_space_group_IT_number 225
_space_group_name_Hall '-F 4 2 3'
_cell_length_a 6.995
_cell_length_b 6.995
_cell_length_c 6.995
_cell_angle_alpha 90.00
_cell_angle_beta 90.00
_cell_angle_gamma 90.00
loop_
_atom_site_label
_atom_site_type_symbol
_atom_site_fract_x
_atom_site_fract_y
_atom_site_fract_z
Li1 Li 0.000 0.000 0.000
Ca1 Ca 0.250 0.250 0.250
H1 H 0.000 0.000 0.255
```

- DFT total energy: -28.1 eV per formula unit
- Calculated volume: 9.51 A^3/atom
- Fermi-level density of states: 5.57 states/eV/cell
- Spin magnetization: 0.0000 μB/atom

2.
Density functional theory data (GGA-PBE) for an optimized crystal structure of Rb2GeTe2.

CIF file:
```
data_Rb2GeTe2
_space_group_name_H-M_alt 'I b a m'
_space_group_IT_number 72
_space_group_name_Hall '-I 2 2c'
_cell_length_a 7.794
_cell_length_b 15.004
_cell_length_c 7.492
_cell_angle_alpha 90.00
_cell_angle_beta 90.00
_cell_angle_gamma 90.00
loop_
_atom_site_label
_atom_site_type_symbol
_atom_site_fract_x
_atom_site_fract_y
_atom_site_fract_z
Rb1 Rb 0.180 0.143 0.000
Ge1 Ge 0.000 0.500 0.250
Te1 Te 0.200 0.391 0.000
```

- Energy relative to the elements, uncorrected: -0.66 eV/atom
- Calculated volume: 43.81 A^3/atom
- Spin magnetization: 0.0000 μB/atom

3.
Density functional theory data (GGA-PBE) for an optimized crystal structure of BiSeS.

CIF file:
```
data_BiSeS
_space_group_name_H-M_alt 'P 3 m 1'
_space_group_IT_number 156
_space_group_name_Hall 'P 3 -2"'
_cell_length_a 4.1849
_cell_length_b 4.1849
_cell_length_c 5.0937
_cell_angle_alpha 90.00
_cell_angle_beta 90.00
_cell_angle_gamma 120.00
loop_
_atom_site_label
_atom_site_type_symbol
_atom_site_fract_x
_atom_site_fract_y
_atom_site_fract_z
Bi1 Bi 0.0000 0.0000 0.0000
Se1 Se 0.6667 0.3333 0.3267
S1 S 0.3333 0.6667 0.7020
```

- Energy relative to the elements, uncorrected: -0.08 eV/atom
- Calculated volume: 25.75 A^3/atom
- Fermi-level density of states: 2.45 states/eV/cell
- Spin magnetization: 0.0000 μB/atom

4.
Density functional theory data (GGA-PBE) for an optimized crystal structure of PmPrHoAg.

CIF file:
```
data_PmPrHoAg
_space_group_name_H-M_alt 'F -4 3 m'
_space_group_IT_number 216
_space_group_name_Hall 'F -4 2 3'
_cell_length_a 7.757
_cell_length_b 7.757
_cell_length_c 7.757
_cell_angle_alpha 90.00
_cell_angle_beta 90.00
_cell_angle_gamma 90.00
loop_
_atom_site_label
_atom_site_type_symbol
_atom_site_fract_x
_atom_site_fract_y
_atom_site_fract_z
Pm1 Pm 0.000 0.000 0.000
Pr1 Pr 0.250 0.250 0.250
Ho1 Ho 0.250 0.250 0.750
Ag1 Ag 0.000 0.000 0.500
```

- Energy of formation from the pure elements: 106 meV/atom
- Calculated volume: 29.17 A^3/atom
- Fermi-level density of states: 28.85 states/eV/cell
- Spin magnetization: 0.0041 μB/atom

5.
Density functional theory data (GGA-PBE) for an optimized crystal structure of LaAgHgPt.

CIF file:
```
data_LaAgHgPt
_space_group_name_H-M_alt 'F -4 3 m'
_space_group_IT_number 216
_space_group_name_Hall 'F -4 2 3'
_cell_length_a 7.133
_cell_length_b 7.133
_cell_length_c 7.133
_cell_angle_alpha 90.00
_cell_angle_beta 90.00
_cell_angle_gamma 90.00
loop_
_atom_site_label
_atom_site_type_symbol
_atom_site_fract_x
_atom_site_fract_y
_atom_site_fract_z
La1 La 0.000 0.000 0.000
Ag1 Ag 0.250 0.250 0.750
Hg1 Hg 0.000 0.000 0.500
Pt1 Pt 0.250 0.250 0.250
```

- Energy of formation from the pure elements: -493 meV/atom
- Calculated volume: 22.69 A^3/atom
- Fermi-level density of states: 9.72 states/eV/cell
- Spin magnetization: 0.0000 μB/atom

6.
Density functional theory data (GGA-PBE) for an optimized crystal structure of Sm2LuMn.

CIF file:
```
data_Sm2LuMn
_space_group_name_H-M_alt 'P 4/m m m'
_space_group_IT_number 123
_space_group_name_Hall '-P 4 2'
_cell_length_a 3.585
_cell_length_b 3.585
_cell_length_c 8.627
_cell_angle_alpha 90.00
_cell_angle_beta 90.00
_cell_angle_gamma 90.00
loop_
_atom_site_label
_atom_site_type_symbol
_atom_site_fract_x
_atom_site_fract_y
_atom_site_fract_z
Sm1 Sm 0.000 0.000 0.212
Lu1 Lu 0.500 0.500 0.500
Mn1 Mn 0.500 0.500 0.000
```

- Energy of formation from the pure elements: 166 meV/atom
- Calculated volume: 27.71 A^3/atom
- Fermi-level density of states: 5.71 states/eV/cell
- Spin magnetization: 0.9443 μB/atom

7.
Density functional theory data (GGA-PBE) for an optimized crystal structure of YMnTl2.

CIF file:
```
data_YMnTl2
_space_group_name_H-M_alt 'C 1 m 1'
_space_group_IT_number 8
_space_group_name_Hall 'C -2y'
_cell_length_a 11.139
_cell_length_b 4.145
_cell_length_c 4.675
_cell_angle_alpha 90.00
_cell_angle_beta 114.71
_cell_angle_gamma 90.00
loop_
_atom_site_label
_atom_site_type_symbol
_atom_site_fract_x
_atom_site_fract_y
_atom_site_fract_z
Y1 Y 0.000 0.000 0.000
Mn1 Mn 0.247 0.500 0.246
Tl1 Tl 0.241 0.000 0.741
Tl2 Tl 0.487 0.000 0.488
```

- Energy of formation from the pure elements: 102 meV/atom
- Calculated volume: 24.51 A^3/atom
- Fermi-level density of states: 6.35 states/eV/cell
- Spin magnetization: 0.8755 μB/atom

8.
Density functional theory data (GGA-PBE) for an optimized crystal structure of ThGaPdRu.

CIF file:
```
data_ThGaPdRu
_space_group_name_H-M_alt 'F -4 3 m'
_space_group_IT_number 216
_space_group_name_Hall 'F -4 2 3'
_cell_length_a 6.742
_cell_length_b 6.742
_cell_length_c 6.742
_cell_angle_alpha 90.00
_cell_angle_beta 90.00
_cell_angle_gamma 90.00
loop_
_atom_site_label
_atom_site_type_symbol
_atom_site_fract_x
_atom_site_fract_y
_atom_site_fract_z
Th1 Th 0.000 0.000 0.000
Ga1 Ga 0.000 0.000 0.500
Pd1 Pd 0.250 0.250 0.750
Ru1 Ru 0.250 0.250 0.250
```

- Energy of formation from the pure elements: -484 meV/atom
- Calculated volume: 19.15 A^3/atom
- Fermi-level density of states: 15.52 states/eV/cell
- Spin magnetization: 0.0000 μB/atom

9.
Density functional theory data (GGA-PBE) for an optimized crystal structure of KBe2Pt.

CIF file:
```
data_KBe2Pt
_space_group_name_H-M_alt 'P m m 2'
_space_group_IT_number 25
_space_group_name_Hall 'P 2 -2'
_cell_length_a 2.855
_cell_length_b 3.267
_cell_length_c 7.554
_cell_angle_alpha 90.00
_cell_angle_beta 90.00
_cell_angle_gamma 90.00
loop_
_atom_site_label
_atom_site_type_symbol
_atom_site_fract_x
_atom_site_fract_y
_atom_site_fract_z
K1 K 0.000 0.000 0.000
Be1 Be 0.000 0.000 0.481
Be2 Be 0.500 0.500 0.647
Pt1 Pt 0.500 0.500 0.356
```

- Energy of formation from the pure elements: 149 meV/atom
- Calculated volume: 17.61 A^3/atom
- Fermi-level density of states: 1.00 states/eV/cell
- Spin magnetization: 0.0000 μB/atom

10.
Density functional theory data (GGA-PBE) for an optimized crystal structure of AlCuAg3.

CIF file:
```
data_AlCuAg3
_space_group_name_H-M_alt 'P m -3 m'
_space_group_IT_number 221
_space_group_name_Hall '-P 4 2 3'
_cell_length_a 4.807
_cell_length_b 4.807
_cell_length_c 4.807
_cell_angle_alpha 90.00
_cell_angle_beta 90.00
_cell_angle_gamma 90.00
loop_
_atom_site_label
_atom_site_type_symbol
_atom_site_fract_x
_atom_site_fract_y
_atom_site_fract_z
Al1 Al 0.000 0.000 0.000
Cu1 Cu 0.500 0.500 0.500
Ag1 Ag 0.000 0.000 0.500
```

- Energy of formation from the pure elements: 736 meV/atom
- Calculated volume: 22.21 A^3/atom
- Fermi-level density of states: 1.90 states/eV/cell
- Spin magnetization: 0.0000 μB/atom

11.
Density functional theory data (GGA-PBE) for an optimized crystal structure of CsMg2TlRh.

CIF file:
```
data_CsMg2TlRh
_space_group_name_H-M_alt 'P 4/m m m'
_space_group_IT_number 123
_space_group_name_Hall '-P 4 2'
_cell_length_a 5.255
_cell_length_b 5.255
_cell_length_c 5.388
_cell_angle_alpha 90.00
_cell_angle_beta 90.00
_cell_angle_gamma 90.00
loop_
_atom_site_label
_atom_site_type_symbol
_atom_site_fract_x
_atom_site_fract_y
_atom_site_fract_z
Cs1 Cs 0.000 0.000 0.000
Mg1 Mg 0.000 0.500 0.500
Tl1 Tl 0.500 0.500 0.000
Rh1 Rh 0.500 0.500 0.500
```

- Energy of formation from the pure elements: -116 meV/atom
- Calculated volume: 29.75 A^3/atom
- Fermi-level density of states: 1.37 states/eV/cell
- Spin magnetization: 0.0000 μB/atom

12.
Density functional theory data (GGA-PBE) for an optimized crystal structure of ScIn2Fe.

CIF file:
```
data_ScIn2Fe
_space_group_name_H-M_alt 'I m m m'
_space_group_IT_number 71
_space_group_name_Hall '-I 2 2'
_cell_length_a 4.392
_cell_length_b 4.410
_cell_length_c 7.980
_cell_angle_alpha 90.00
_cell_angle_beta 90.00
_cell_angle_gamma 90.00
loop_
_atom_site_label
_atom_site_type_symbol
_atom_site_fract_x
_atom_site_fract_y
_atom_site_fract_z
Sc1 Sc 0.000 0.000 0.000
In1 In 0.000 0.500 0.250
Fe1 Fe 0.000 0.000 0.500
```

- Energy of formation from the pure elements: -25 meV/atom
- Calculated volume: 19.32 A^3/atom
- Fermi-level density of states: 5.44 states/eV/cell
- Spin magnetization: 0.4695 μB/atom